Record 1
CuSiW2 | PBEsol | optimized geometry

Cell: 2.669 3.929 5.296 Å, 90.00 90.00 90.00°
Atoms (fractional coordinates):
Cu: 0.500 0.500 0.000
Si: 0.500 0.500 0.500
W: 0.000 0.000 0.748
W: 0.000 0.000 0.252

Results
**Raw formation energy**: 1.051 eV per formula unit
**E_tot**: -36.645 eV for the cell shown
**SG**: Pmmm, No. 47
**Magnetization**: 0.000 μB/atom



Record 2
YCuSi | PBEsol | optimized geometry

Cell: 3.160 3.160 5.622 Å, 106.35 106.35 89.89°
Atoms (fractional coordinates):
Cu: 0.031 0.031 0.061
Si: 0.636 0.636 0.271
Y: 0.334 0.334 0.668

Results
**Raw formation energy**: -0.787 eV per formula unit
**E_tot**: -17.690 eV for the cell shown
**SG**: Fmm2, No. 42
**Magnetization**: 0.000 μB/atom



no.,V (Å³/f.u.)
1,55.5
2,51.5